# Si23Tc3

Si23Tc3 after structural relaxation (PBE-GGA, Alexandria via LeMat-Bulk).

Unit cell a=10.103 b=10.103 c=10.103 alpha=90.00 beta=90.00 gamma=90.00
Last column: magnetic moment on the atom in μB.
Fractional coordinates of all 52 atoms:
Tc: 0.250 0.000 0.500  3.44
Tc: 0.750 0.000 0.500  3.44
Tc: 0.500 0.250 0.000  3.44
Tc: 0.000 0.500 0.750  3.44
Tc: 0.000 0.500 0.250  3.44
Tc: 0.500 0.750 0.000  3.44
Si: 0.189 0.616 0.500  0.02
Si: 0.384 0.500 0.811  0.02
Si: 0.316 0.316 0.684  0.04
Si: 0.184 0.184 0.184  0.04
Si: 0.816 0.184 0.816  0.04
Si: 0.500 0.000 0.750  0.03
Si: 0.000 0.116 0.311  0.02
Si: 0.311 0.000 0.884  0.02
Si: 0.816 0.184 0.184  0.04
Si: 0.184 0.816 0.184  0.04
Si: 0.000 0.884 0.311  0.02
Si: 0.500 0.811 0.384  0.02
Si: 0.116 0.311 0.000  0.02
Si: 0.311 0.000 0.116  0.02
Si: 0.689 0.000 0.116  0.02
Si: 0.689 0.000 0.884  0.02
Si: 0.000 0.750 0.500  0.03
Si: 0.811 0.616 0.500  0.02
Si: 0.616 0.500 0.189  0.02
Si: 0.816 0.816 0.816  0.04
Si: 0.316 0.316 0.316  0.04
Si: 0.884 0.311 0.000  0.02
Si: 0.250 0.500 0.000  0.03
Si: 0.000 0.116 0.689  0.02
Si: 0.684 0.684 0.684  0.04
Si: 0.811 0.384 0.500  0.02
Si: 0.884 0.689 0.000  0.02
Si: 0.384 0.500 0.189  0.02
Si: 0.684 0.316 0.684  0.04
Si: 0.316 0.684 0.316  0.04
Si: 0.184 0.184 0.816  0.04
Si: 0.116 0.689 0.000  0.02
Si: 0.684 0.684 0.316  0.04
Si: 0.750 0.500 0.000  0.03
Si: 0.500 0.000 0.250  0.03
Si: 0.184 0.816 0.816  0.04
Si: 0.684 0.316 0.316  0.04
Si: 0.500 0.811 0.616  0.02
Si: 0.816 0.816 0.184  0.04
Si: 0.500 0.189 0.616  0.02
Si: 0.189 0.384 0.500  0.02
Si: 0.616 0.500 0.811  0.02
Si: 0.316 0.684 0.684  0.04
Si: 0.000 0.250 0.500  0.03
Si: 0.000 0.884 0.689  0.02
Si: 0.500 0.189 0.384  0.02

Computed properties:
Its space group is Pm-3n (223). As for the density: 3.03 Mg/m³. The value obtained for the total DFT energy (no corrections) is -281.66 eV/cell. As for the density of states at the Fermi level: 14.23 states/eV/f.u. The calculation puts the size of the total moment at 13.1 μB per formula unit.